Computed, not measured: a geometry-optimized Ag3Ir11 structure at the GGA-PBE level of DFT.

Calculated values
formation enthalpy at 0 K = 0.450 eV/atom

a = 7.2383 Å, b = 7.2383 Å, c = 6.4583 Å
α = 112.96°, β = 112.96°, γ = 44.78°
With the nearest neighbours (Å) after each atom.
Fractional positions:
Ag (0.0000, 0.0000, 0.0000)  12 Ir 2.69-2.89
Ag (0.2750, 0.2750, 0.7079)  12 Ir 2.71-2.81
Ag (0.5517, 0.5517, 0.4165)  12 Ir 2.70-2.89
Ir (0.0538, 0.0538, 0.4515)  6 Ir 2.64-2.93, 4 Ag 2.69-2.77
Ir (0.1030, 0.6001, 0.1265)  7 Ir 2.62-2.91, 3 Ag 2.81-2.89
Ir (0.1534, 0.6764, 0.5697)  8 Ir 2.62-2.88, 3 Ag 2.79-2.84
Ir (0.3974, 0.8746, 0.8462)  8 Ir 2.62-2.88, 3 Ag 2.78-2.84
Ir (0.4496, 0.9513, 0.2891)  7 Ir 2.62-2.93, 3 Ag 2.81-2.89
Ir (0.4963, 0.4963, 0.9630)  6 Ir 2.64-2.91, 4 Ag 2.70-2.77
Ir (0.6001, 0.1030, 0.1265)  7 Ir 2.62-2.91, 3 Ag 2.81-2.89
Ir (0.6764, 0.1534, 0.5697)  8 Ir 2.62-2.88, 3 Ag 2.79-2.84
Ir (0.7757, 0.7757, 0.7078)  8 Ir 2.72-2.82, 4 Ag 2.76-2.79
Ir (0.8746, 0.3974, 0.8462)  8 Ir 2.62-2.88, 3 Ag 2.78-2.84
Ir (0.9513, 0.4496, 0.2891)  7 Ir 2.62-2.93, 3 Ag 2.81-2.89

=====

Computed, not measured: a geometry-optimized AgIr7 structure at the GGA-PBE level of DFT.

Calculated values
formation enthalpy at 0 K = 0.234 eV/atom

a = 5.5172 Å, b = 5.5172 Å, c = 5.5172 Å
α = 60.00°, β = 60.00°, γ = 60.00°
With the nearest neighbours (Å) after each atom.
Fractional positions:
Ag (0.0000, 0.0000, 0.0000)  12 Ir 2.76
Ir (0.0000, 0.0000, 0.5000)  10 Ir 2.76, 2 Ag 2.76
Ir (0.0000, 0.5000, 0.0000)  10 Ir 2.76, 2 Ag 2.76
Ir (0.0000, 0.5000, 0.5000)  10 Ir 2.76, 2 Ag 2.76
Ir (0.5000, 0.0000, 0.0000)  10 Ir 2.76, 2 Ag 2.76
Ir (0.5000, 0.0000, 0.5000)  10 Ir 2.76, 2 Ag 2.76
Ir (0.5000, 0.5000, 0.0000)  10 Ir 2.76, 2 Ag 2.76
Ir (0.5000, 0.5000, 0.5000)  12 Ir 2.76

=====

Computed, not measured: a geometry-optimized AgIr structure at the GGA-PBE level of DFT.

Calculated values
formation enthalpy at 0 K = 1.469 eV/atom

a = 5.2767 Å, b = 5.2767 Å, c = 5.2767 Å
α = 90.00°, β = 90.00°, γ = 90.00°
With the nearest neighbours (Å) after each atom.
Fractional positions:
Ag (0.0000, 0.0000, 0.0000)  6 Ir 2.64
Ag (0.0000, 0.5000, 0.5000)  6 Ir 2.64
Ag (0.5000, 0.0000, 0.5000)  6 Ir 2.64
Ag (0.5000, 0.5000, 0.0000)  6 Ir 2.64
Ir (0.0000, 0.0000, 0.5000)  6 Ag 2.64
Ir (0.0000, 0.5000, 0.0000)  6 Ag 2.64
Ir (0.5000, 0.0000, 0.0000)  6 Ag 2.64
Ir (0.5000, 0.5000, 0.5000)  6 Ag 2.64

=====

Computed, not measured: a geometry-optimized AgIr2 structure at the GGA-PBE level of DFT.

Calculated values
formation enthalpy at 0 K = 0.547 eV/atom
distance to the lowest polymorph of the same formula = 0.00 eV per formula unit

a = 5.2210 Å, b = 5.2210 Å, c = 5.2210 Å
α = 60.00°, β = 60.00°, γ = 60.00°
With the nearest neighbours (Å) after each atom.
Fractional positions:
Ag (0.1250, 0.1250, 0.1250)  12 Ir 3.06, 4 Ag 3.20
Ag (0.8750, 0.8750, 0.8750)  12 Ir 3.06, 4 Ag 3.20
Ir (0.0000, 0.5000, 0.5000)  6 Ir 2.61
Ir (0.5000, 0.0000, 0.5000)  6 Ir 2.61
Ir (0.5000, 0.5000, 0.0000)  6 Ir 2.61
Ir (0.5000, 0.5000, 0.5000)  6 Ir 2.61

=====

Computed, not measured: a geometry-optimized AgIr structure at the GGA-PBE level of DFT.

Calculated values
formation enthalpy at 0 K = 0.376 eV/atom

a = 2.7584 Å, b = 2.7584 Å, c = 4.7989 Å
α = 90.00°, β = 90.00°, γ = 120.00°
With the nearest neighbours (Å) after each atom.
Fractional positions:
Ag (0.0000, 0.0000, 0.0000)  6 Ag 2.76, 6 Ir 2.88
Ir (0.6667, 0.3333, 0.5000)  6 Ir 2.76, 6 Ag 2.88

=====

Computed, not measured: a geometry-optimized AgIr structure at the GGA-PBE level of DFT.

Calculated values
formation enthalpy at 0 K = 2.142 eV/atom

a = 5.8410 Å, b = 5.8410 Å, c = 5.8410 Å
α = 90.00°, β = 90.00°, γ = 90.00°
With the nearest neighbours (Å) after each atom.
Fractional positions:
Ag (0.0000, 0.0000, 0.0000)  4 Ir 2.53
Ag (0.0000, 0.5000, 0.5000)  4 Ir 2.53
Ag (0.5000, 0.0000, 0.5000)  4 Ir 2.53
Ag (0.5000, 0.5000, 0.0000)  4 Ir 2.53
Ir (0.2500, 0.2500, 0.7500)  4 Ag 2.53
Ir (0.2500, 0.7500, 0.2500)  4 Ag 2.53
Ir (0.7500, 0.2500, 0.2500)  4 Ag 2.53
Ir (0.7500, 0.7500, 0.7500)  4 Ag 2.53

=====

Computed, not measured: a geometry-optimized AgIr2 structure at the GGA-PBE level of DFT.

Calculated values
formation enthalpy at 0 K = 1.386 eV/atom
distance to the lowest polymorph of the same formula = 2.52 eV per formula unit

a = 6.0027 Å, b = 6.0027 Å, c = 6.0027 Å
α = 90.00°, β = 90.00°, γ = 90.00°
With the nearest neighbours (Å) after each atom.
Fractional positions:
Ag (0.0000, 0.0000, 0.0000)  8 Ir 2.60
Ag (0.0000, 0.5000, 0.5000)  8 Ir 2.60
Ag (0.5000, 0.0000, 0.5000)  8 Ir 2.60
Ag (0.5000, 0.5000, 0.0000)  8 Ir 2.60
Ir (0.2500, 0.2500, 0.2500)  4 Ag 2.60
Ir (0.2500, 0.2500, 0.7500)  4 Ag 2.60
Ir (0.2500, 0.7500, 0.2500)  4 Ag 2.60
Ir (0.2500, 0.7500, 0.7500)  4 Ag 2.60
Ir (0.7500, 0.2500, 0.2500)  4 Ag 2.60
Ir (0.7500, 0.2500, 0.7500)  4 Ag 2.60
Ir (0.7500, 0.7500, 0.2500)  4 Ag 2.60
Ir (0.7500, 0.7500, 0.7500)  4 Ag 2.60

=====

Computed, not measured: a geometry-optimized Ag2Ir structure at the GGA-PBE level of DFT.

Calculated values
formation enthalpy at 0 K = 0.962 eV/atom
distance to the lowest polymorph of the same formula = 1.72 eV per formula unit

a = 6.1959 Å, b = 6.1959 Å, c = 6.1959 Å
α = 90.00°, β = 90.00°, γ = 90.00°
With the nearest neighbours (Å) after each atom.
Fractional positions:
Ag (0.2500, 0.2500, 0.2500)  4 Ir 2.68
Ag (0.2500, 0.2500, 0.7500)  4 Ir 2.68
Ag (0.2500, 0.7500, 0.2500)  4 Ir 2.68
Ag (0.2500, 0.7500, 0.7500)  4 Ir 2.68
Ag (0.7500, 0.2500, 0.2500)  4 Ir 2.68
Ag (0.7500, 0.2500, 0.7500)  4 Ir 2.68
Ag (0.7500, 0.7500, 0.2500)  4 Ir 2.68
Ag (0.7500, 0.7500, 0.7500)  4 Ir 2.68
Ir (0.0000, 0.0000, 0.0000)  8 Ag 2.68
Ir (0.0000, 0.5000, 0.5000)  8 Ag 2.68
Ir (0.5000, 0.0000, 0.5000)  8 Ag 2.68
Ir (0.5000, 0.5000, 0.0000)  8 Ag 2.68

=====

Computed, not measured: a geometry-optimized Ag2Ir structure at the GGA-PBE level of DFT.

Calculated values
formation enthalpy at 0 K = 0.390 eV/atom
distance to the lowest polymorph of the same formula = 0.00 eV per formula unit

a = 6.9394 Å, b = 5.7128 Å, c = 4.9477 Å
α = 90.00°, β = 102.85°, γ = 90.00°
With the nearest neighbours (Å) after each atom.
Fractional positions:
Ag (0.0050, 0.1218, 0.2400)  9 Ag 2.74-2.94, 3 Ir 2.82-2.90
Ag (0.0050, 0.3782, 0.7400)  9 Ag 2.74-2.94, 3 Ir 2.82-2.90
Ag (0.3256, 0.6252, 0.0290)  6 Ir 2.69-2.98, 6 Ag 2.75-2.88
Ag (0.3256, 0.8748, 0.5290)  6 Ir 2.69-2.98, 6 Ag 2.75-2.88
Ag (0.6744, 0.1252, 0.4710)  6 Ir 2.69-2.98, 6 Ag 2.75-2.88
Ag (0.6744, 0.3748, 0.9710)  6 Ir 2.69-2.98, 6 Ag 2.75-2.88
Ag (0.9950, 0.6218, 0.2600)  9 Ag 2.74-2.94, 3 Ir 2.82-2.90
Ag (0.9950, 0.8782, 0.7600)  9 Ag 2.74-2.94, 3 Ir 2.82-2.90
Ir (0.3471, 0.1389, 0.0178)  3 Ir 2.69-2.78, 9 Ag 2.69-2.98
Ir (0.3471, 0.3611, 0.5178)  3 Ir 2.69-2.78, 9 Ag 2.69-2.98
Ir (0.6529, 0.6389, 0.4822)  3 Ir 2.69-2.78, 9 Ag 2.69-2.98
Ir (0.6529, 0.8611, 0.9822)  3 Ir 2.69-2.78, 9 Ag 2.69-2.98

=====

Computed, not measured: a geometry-optimized AgIr2 structure at the GGA-PBE level of DFT.

Calculated values
formation enthalpy at 0 K = 3.848 eV/atom
distance to the lowest polymorph of the same formula = 9.90 eV per formula unit

a = 8.1166 Å, b = 8.1166 Å, c = 8.1166 Å
α = 60.00°, β = 60.00°, γ = 60.00°
With the nearest neighbours (Å) after each atom.
Fractional positions:
Ag (0.1250, 0.1250, 0.1250)  4 Ir 2.49
Ag (0.8750, 0.8750, 0.8750)  4 Ir 2.49
Ir (0.0000, 0.0000, 0.0000)  2 Ag 2.49
Ir (0.0000, 0.0000, 0.5000)  2 Ag 2.49
Ir (0.0000, 0.5000, 0.0000)  2 Ag 2.49
Ir (0.5000, 0.0000, 0.0000)  2 Ag 2.49

=====

Computed, not measured: a geometry-optimized KAgIrO3 structure at the GGA-PBE level of DFT.

Calculated values
total energy = -5.331 eV per atom

a = 11.4190 Å, b = 3.1933 Å, c = 10.4298 Å
α = 90.00°, β = 90.00°, γ = 90.00°
With the nearest neighbours (Å) after each atom.
Fractional positions:
K (0.2298, 0.2500, 0.1501)  3 O 2.52-2.71
K (0.2702, 0.7500, 0.6501)  3 O 2.52-2.71
K (0.7298, 0.2500, 0.3499)  3 O 2.52-2.71
K (0.7702, 0.7500, 0.8499)  3 O 2.52-2.71
Ag (0.0398, 0.2500, 0.9105)  2 O 2.16
Ag (0.4602, 0.7500, 0.4105)  2 O 2.16
Ag (0.5398, 0.2500, 0.5895)  2 O 2.16
Ag (0.9602, 0.7500, 0.0895)  2 O 2.16
Ir (0.0158, 0.2500, 0.3719)  6 O 1.95-2.09
Ir (0.4842, 0.7500, 0.8719)  6 O 1.95-2.09
Ir (0.5158, 0.2500, 0.1281)  6 O 1.95-2.09
Ir (0.9842, 0.7500, 0.6281)  6 O 1.95-2.09
O (0.0810, 0.2500, 0.5549)  3 Ir 2.05-2.09
O (0.0836, 0.7500, 0.7798)  1 Ir 1.95, 2 Ag 2.16
O (0.1081, 0.7500, 0.3127)  2 Ir 2.01
O (0.3919, 0.2500, 0.8127)  2 Ir 2.01
O (0.4164, 0.2500, 0.2798)  1 Ir 1.95, 2 Ag 2.16
O (0.4190, 0.7500, 0.0549)  3 Ir 2.05-2.09
O (0.5810, 0.2500, 0.9451)  3 Ir 2.05-2.09
O (0.5836, 0.7500, 0.7202)  1 Ir 1.95, 2 Ag 2.16
O (0.6081, 0.7500, 0.1873)  2 Ir 2.01
O (0.8919, 0.2500, 0.6873)  2 Ir 2.01
O (0.9164, 0.2500, 0.2202)  1 Ir 1.95, 2 Ag 2.16
O (0.9190, 0.7500, 0.4451)  3 Ir 2.05-2.09

=====

Computed, not measured: a geometry-optimized KAg3IrO4 structure at the GGA-PBE level of DFT.

Calculated values
total energy = -4.263 eV per atom

a = 5.5254 Å, b = 5.5254 Å, c = 5.5254 Å
α = 90.00°, β = 90.00°, γ = 90.00°
With the nearest neighbours (Å) after each atom.
Fractional positions:
K (0.0000, 0.0000, 0.0000)  4 O 2.67
Ag (0.0000, 0.5000, 0.5000)  4 O 2.32
Ag (0.5000, 0.0000, 0.5000)  4 O 2.32
Ag (0.5000, 0.5000, 0.0000)  4 O 2.32
Ir (0.5000, 0.5000, 0.5000)  4 O 2.12
O (0.2789, 0.2789, 0.2789)  1 Ir 2.12, 3 Ag 2.32
O (0.2789, 0.7211, 0.7211)  1 Ir 2.12, 3 Ag 2.32
O (0.7211, 0.2789, 0.7211)  1 Ir 2.12, 3 Ag 2.32
O (0.7211, 0.7211, 0.2789)  1 Ir 2.12, 3 Ag 2.32